Compound: Li2SeF
Source: the Alexandria database
Functional: PBE
Structure: relaxed

Geometry as CIF:
```
data_Li2SeF
_chemical_formula_sum 'Li2 Se1 F1'
_cell_length_a 4.3704
_cell_length_b 4.3704
_cell_length_c 4.3704
_cell_angle_alpha 60.00
_cell_angle_beta 60.00
_cell_angle_gamma 60.00
_space_group_name_H-M_alt 'P 1'
_space_group_IT_number 1
loop_
_space_group_symop_operation_xyz
'x,y,z'
loop_
_atom_site_label
_atom_site_fract_x
_atom_site_fract_y
_atom_site_fract_z
_atom_site_occupancy
Li1 0.2500 0.2500 0.2500 1
Li2 0.7500 0.7500 0.7500 1
Se1 0.0000 0.0000 0.0000 1
F1 0.5000 0.5000 0.5000 1
```

Spin magnetization = 1.00 μB per formula unit
D(E_F) = 7.8 states/eV per cell
Distance to the lowest polymorph of the same formula = 0.462 eV/atom
Raw total energy = -14.1 eV/f.u.
Raw formation energy = -1.242 eV per atom